A geometry-optimized Sr2MnZn2As2O2 structure, computed with PBE+U.

Density of states at the Fermi level ... 1.52 states/eV per cell
Raw total energy ... -89.53 eV for the cell shown

```
data_Sr2MnZn2As2O2
_chemical_formula_sum 'Sr4 Mn2 Zn4 As4 O4'
_symmetry_space_group_name_H-M 'I 4/m m m'
_symmetry_Int_Tables_number 139
_symmetry_space_group_name_Hall '-I 4 2'
_cell_length_a 4.1964
_cell_length_b 4.1964
_cell_length_c 18.8220
_cell_angle_alpha 90.00
_cell_angle_beta 90.00
_cell_angle_gamma 90.00
loop_
_atom_site_label
_atom_site_type_symbol
_atom_site_fract_x
_atom_site_fract_y
_atom_site_fract_z
Sr1 Sr 0.0000 0.0000 0.0870
Mn1 Mn 0.0000 0.0000 0.5000
Zn1 Zn 0.0000 0.5000 0.2500
As1 As 0.0000 0.0000 0.3313
O1 O 0.0000 0.5000 0.0000
```